Record 1
The following is a DFT calculation (PBE) of NpSbPd after structural relaxation.

Calculated values
**Uncorrected energy**: -7.796 eV per atom

Lattice parameters (Å, degrees): 4.4434 12.5138 4.6139 90.00 90.00 90.00
Closest atoms and distances in Å follow each position.
Space group Cmcm (No. 63)
Inequivalent atoms, fractional coordinates:
1 Np 0.0000 0.0730 0.2500 [4 per cell]  2 Np 2.94, 4 Pd 3.11-3.23, 6 Sb 3.26-3.29
2 Sb 0.0000 0.3794 0.2500 [4 per cell]  4 Pd 2.78-2.79
3 Pd 0.0000 0.2536 0.7500 [4 per cell]  4 Sb 2.78-2.79, 2 Np 3.11

Record 2
The following is a DFT calculation (PBE) of NpSbPd14 after structural relaxation.

Calculated values
**Uncorrected energy**: -5.840 eV per atom

Lattice parameters (Å, degrees): 5.7780 5.7780 7.7730 90.00 90.00 90.00
Closest atoms and distances in Å follow each position.
Space group P4/mmm (No. 123)
Inequivalent atoms, fractional coordinates:
1 Np 0.0000 0.0000 0.0000 [1 per cell]  12 Pd 2.83-2.89
2 Sb 0.5000 0.5000 0.0000 [1 per cell]  12 Pd 2.82-2.89
3 Pd 0.0000 0.0000 0.5000 [1 per cell]  12 Pd 2.81-2.89
4 Pd 0.0000 0.5000 0.0000 [2 per cell]  8 Pd 2.83, 2 Sb 2.89, 2 Np 2.89
5 Pd 0.0000 0.5000 0.5000 [2 per cell]  12 Pd 2.81-2.89
6 Pd 0.2503 0.2503 0.2512 [8 per cell]  10 Pd 2.81-2.89, 1 Sb 2.82, 1 Np 2.83
7 Pd 0.5000 0.5000 0.5000 [1 per cell]  12 Pd 2.81-2.89

Record 3
The following is a DFT calculation (PBE) of Np4Sb8Pd3 after structural relaxation.

Calculated values
**Uncorrected energy**: -7.061 eV per atom

Lattice parameters (Å, degrees): 4.3884 4.3884 18.9345 90.00 90.00 90.00
Closest atoms and distances in Å follow each position.
Space group P-4m2 (No. 115)
Inequivalent atoms, fractional coordinates:
1 Np 0.0000 0.5000 0.1163 [2 per cell]  2 Pd 3.11, 8 Sb 3.18-3.28
2 Np 0.0000 0.5000 0.6267 [2 per cell]  8 Sb 3.18-3.28, 4 Pd 3.25
3 Sb 0.0000 0.0000 0.2447 [2 per cell]  4 Sb 3.10, 4 Np 3.27-3.28
4 Sb 0.0000 0.5000 0.4108 [2 per cell]  4 Pd 2.77
5 Sb 0.0000 0.5000 0.9193 [2 per cell]  2 Pd 2.67
6 Sb 0.5000 0.5000 0.2451 [2 per cell]  4 Sb 3.10, 4 Np 3.27-3.28
7 Pd 0.0000 0.0000 0.0000 [1 per cell]  4 Sb 2.67
8 Pd 0.0000 0.0000 0.5000 [1 per cell]  4 Sb 2.77
9 Pd 0.5000 0.5000 0.5000 [1 per cell]  4 Sb 2.77

Record 4
The following is a DFT calculation (PBE) of NpSb3Pd6 after structural relaxation.

Calculated values
**Uncorrected energy**: -6.029 eV per atom

Lattice parameters (Å, degrees): 9.1123 4.1205 10.7555 90.00 100.73 90.00
Closest atoms and distances in Å follow each position.
Space group P2_1/m (No. 11)
Inequivalent atoms, fractional coordinates:
1 Np 0.0178 0.2500 0.2522 [2 per cell]  8 Pd 2.96-3.24, 4 Sb 3.11-3.24
2 Sb 0.1518 0.2500 0.5895 [2 per cell]  5 Pd 2.72-2.82
3 Sb 0.2858 0.7500 0.9368 [2 per cell]  7 Pd 2.64-2.78
4 Sb 0.3788 0.2500 0.3129 [2 per cell]  9 Pd 2.70-2.95
5 Pd 0.0956 0.2500 0.9769 [2 per cell]  2 Sb 2.78, 6 Pd 2.80-2.97
6 Pd 0.2102 0.7500 0.1678 [2 per cell]  3 Sb 2.70-2.85, 4 Pd 2.79-2.96, 2 Np 2.96
7 Pd 0.2141 0.7500 0.4279 [2 per cell]  3 Pd 2.79-3.05, 4 Sb 2.82-2.95, 2 Np 3.12
8 Pd 0.3226 0.7500 0.6992 [2 per cell]  4 Sb 2.64-2.75, 3 Pd 2.85-2.90
9 Pd 0.4237 0.2500 0.0721 [2 per cell]  4 Sb 2.67-2.70, 1 Pd 2.97
10 Pd 0.4514 0.2500 0.5718 [2 per cell]  4 Sb 2.73-2.77, 5 Pd 2.82-3.05

Record 5
The following is a DFT calculation (PBE) of NpSb2Pd9 after structural relaxation.

Calculated values
**Uncorrected energy**: -6.050 eV per atom

Lattice parameters (Å, degrees): 4.1106 4.1106 12.1020 90.00 90.00 90.00
Closest atoms and distances in Å follow each position.
Space group P4/mmm (No. 123)
Inequivalent atoms, fractional coordinates:
1 Np 0.0000 0.0000 0.0000 [1 per cell]  12 Pd 2.91
2 Sb 0.0000 0.0000 0.3373 [2 per cell]  12 Pd 2.85-2.91
3 Pd 0.0000 0.5000 0.1701 [4 per cell]  8 Pd 2.88-2.91, 2 Sb 2.88, 2 Np 2.91
4 Pd 0.0000 0.5000 0.5000 [2 per cell]  4 Sb 2.85, 8 Pd 2.85-2.91
5 Pd 0.5000 0.5000 0.0000 [1 per cell]  4 Np 2.91, 8 Pd 2.91
6 Pd 0.5000 0.5000 0.3372 [2 per cell]  8 Pd 2.85-2.88, 4 Sb 2.91

Record 6
The following is a DFT calculation (PBE) of Np3Sb4Pd4 after structural relaxation.

Calculated values
**Uncorrected energy**: -7.360 eV per atom

Lattice parameters (Å, degrees): 4.5380 7.3352 14.6332 90.00 90.00 90.00
Closest atoms and distances in Å follow each position.
Space group Immm (No. 71)
Inequivalent atoms, fractional coordinates:
1 Np 0.0000 0.0000 0.0000 [2 per cell]  6 Sb 3.11-3.12
2 Np 0.0000 0.5000 0.1226 [4 per cell]  6 Pd 3.26-3.27, 6 Sb 3.27-3.31, 1 Np 3.59
3 Sb 0.0000 0.0000 0.2131 [4 per cell]  6 Pd 2.72-2.75
4 Sb 0.0000 0.2091 0.5000 [4 per cell]  2 Pd 2.70
5 Pd 0.0000 0.3004 0.3215 [8 per cell]  4 Sb 2.70-2.75, 1 Pd 2.93

Record 7
The following is a DFT calculation (PBE) of NpSbPd4 after structural relaxation.

Calculated values
**Relative energy among the computed polymorphs**: 0.33 eV/f.u.

Lattice parameters (Å, degrees): 7.6342 7.6342 7.6342 90.00 90.00 90.00
Closest atoms and distances in Å follow each position.
Space group F-43m (No. 216)
Inequivalent atoms, fractional coordinates:
1 Np 0.0000 0.0000 0.0000 [4 per cell]  12 Pd 3.16, 4 Sb 3.31
2 Sb 0.2500 0.2500 0.2500 [4 per cell]  12 Pd 3.17, 4 Np 3.31
3 Pd 0.1255 0.1255 0.6255 [16 per cell]  6 Pd 2.69-2.71

Record 8
The following is a DFT calculation (PBE) of NpSb3Pd12 after structural relaxation.

Calculated values
**Uncorrected energy**: -5.858 eV per atom

Lattice parameters (Å, degrees): 4.1026 4.1026 16.1245 90.00 90.00 90.00
Closest atoms and distances in Å follow each position.
Space group P4/mmm (No. 123)
Inequivalent atoms, fractional coordinates:
1 Np 0.0000 0.0000 0.0000 [1 per cell]  12 Pd 2.90-2.91
2 Sb 0.0000 0.0000 0.2539 [2 per cell]  12 Pd 2.85-2.90
3 Sb 0.0000 0.0000 0.5000 [1 per cell]  12 Pd 2.86-2.90
4 Pd 0.0000 0.5000 0.1279 [4 per cell]  8 Pd 2.89-2.91, 2 Sb 2.89, 2 Np 2.91
5 Pd 0.0000 0.5000 0.3767 [4 per cell]  4 Sb 2.85-2.86, 8 Pd 2.85-2.90
6 Pd 0.5000 0.5000 0.0000 [1 per cell]  4 Np 2.90, 8 Pd 2.91
7 Pd 0.5000 0.5000 0.2539 [2 per cell]  8 Pd 2.85-2.89, 4 Sb 2.90
8 Pd 0.5000 0.5000 0.5000 [1 per cell]  8 Pd 2.86, 4 Sb 2.90

Record 9
The following is a DFT calculation (PBE) of NpSn2Sb2Pd7 after structural relaxation.

Calculated values
**Uncorrected energy**: -5.805 eV per atom

Lattice parameters (Å, degrees): 5.6247 5.6251 16.7362 90.00 99.56 90.00
Closest atoms and distances in Å follow each position.
Space group C2/m (No. 12)
Inequivalent atoms, fractional coordinates:
1 Np 0.0000 0.0000 0.0000 [2 per cell]  12 Pd 2.81-2.96
2 Sn 0.2156 0.0000 0.4324 [4 per cell]  5 Pd 2.77-2.86
3 Sb 0.1183 0.5000 0.2402 [4 per cell]  5 Pd 2.63-2.66
4 Pd 0.0000 0.5000 0.0000 [2 per cell]  4 Np 2.81, 8 Pd 2.96
5 Pd 0.1847 0.2500 0.8670 [8 per cell]  2 Sb 2.66, 6 Pd 2.81-2.96, 2 Np 2.96
6 Pd 0.1993 0.5000 0.3998 [4 per cell]  1 Sb 2.63, 5 Sn 2.77-2.86

Record 10
The following is a DFT calculation (PBE) of NpZnSbPd after structural relaxation.

Calculated values
**Uncorrected energy**: -5.989 eV per atom

Lattice parameters (Å, degrees): 6.9312 6.9312 6.9312 90.00 90.00 90.00
Closest atoms and distances in Å follow each position.
Space group F-43m (No. 216)
Inequivalent atoms, fractional coordinates:
1 Np 0.0000 0.0000 0.0000 [4 per cell]  4 Sb 3.00, 4 Zn 3.00
2 Zn 0.2500 0.2500 0.2500 [4 per cell]  4 Np 3.00, 4 Pd 3.00
3 Sb 0.2500 0.2500 0.7500 [4 per cell]  4 Np 3.00, 4 Pd 3.00
4 Pd 0.0000 0.0000 0.5000 [4 per cell]  4 Zn 3.00, 4 Sb 3.00

Record 11
The following is a DFT calculation (PBE) of Np3ScPd12 after structural relaxation.

Calculated values
**ΔH_f (0 K)**: -0.55 eV per atom

Lattice parameters (Å, degrees): 4.1157 4.1157 16.3844 90.00 90.00 90.00
Closest atoms and distances in Å follow each position.
Space group P4/mmm (No. 123)
Inequivalent atoms, fractional coordinates:
1 Np 0.0000 0.0000 0.0000 [1 per cell]  12 Pd 2.91-2.93
2 Np 0.0000 0.0000 0.2555 [2 per cell]  12 Pd 2.90-2.94
3 Sc 0.0000 0.0000 0.5000 [1 per cell]  12 Pd 2.84-2.91
4 Pd 0.0000 0.5000 0.1271 [4 per cell]  8 Pd 2.91-2.93, 4 Np 2.93-2.94
5 Pd 0.0000 0.5000 0.3804 [4 per cell]  8 Pd 2.84-2.92, 2 Sc 2.84, 2 Np 2.90
6 Pd 0.5000 0.5000 0.0000 [1 per cell]  4 Np 2.91, 8 Pd 2.93
7 Pd 0.5000 0.5000 0.2537 [2 per cell]  4 Np 2.91, 8 Pd 2.92
8 Pd 0.5000 0.5000 0.5000 [1 per cell]  8 Pd 2.84, 4 Sc 2.91

Record 12
The following is a DFT calculation (PBE) of NpScPd2 after structural relaxation.

Calculated values
**ΔH_f (0 K)**: -0.48 eV per atom

Lattice parameters (Å, degrees): 3.2563 3.2563 7.3692 90.00 90.00 90.00
Closest atoms and distances in Å follow each position.
Space group P4/mmm (No. 123)
Inequivalent atoms, fractional coordinates:
1 Np 0.0000 0.0000 0.0000 [1 per cell]  8 Pd 3.11, 4 Np 3.26
2 Sc 0.0000 0.0000 0.5000 [1 per cell]  8 Pd 2.80
3 Pd 0.5000 0.5000 0.2831 [2 per cell]  4 Sc 2.80, 4 Np 3.11